Crystalline ReW2C at its relaxed geometry, computed with GGA-PBE.

E_form = 450.2 meV per atom
Calculated total energy = -183.111 eV/cell

a = 7.1197 Å, b = 7.1197 Å, c = 4.4668 Å
α = 90.00°, β = 90.00°, γ = 90.00°
With the nearest neighbours (Å) after each atom.
Space group I-42d (No. 122)
Asymmetric unit:
Re 0.0000 0.0000 0.0000 (multiplicity 4)  2 C 2.23
W 0.1388 0.7500 0.6250 (multiplicity 8)  2 C 2.11
C 0.0000 0.0000 0.5000 (multiplicity 4)  4 W 2.11, 2 Re 2.23